A relaxed ZrCr2Au crystal, computed with GGA-PBE.

Cell and atoms, written as CIF:
```
data_ZrCr2Au
_chemical_formula_sum 'Zr2 Cr4 Au2'
_symmetry_space_group_name_H-M 'C 1 2/m 1'
_symmetry_Int_Tables_number 12
_symmetry_space_group_name_Hall '-C 2y'
_cell_length_a 5.521
_cell_length_b 9.044
_cell_length_c 2.745
_cell_angle_alpha 90.00
_cell_angle_beta 111.84
_cell_angle_gamma 90.00
loop_
_atom_site_label
_atom_site_fract_x
_atom_site_fract_y
_atom_site_fract_z
Zr1 0.000 0.000 0.000
Cr1 0.250 0.250 0.500
Au1 0.000 0.500 0.000
```

DOS at the Fermi energy   1.27 states/eV/atom

A relaxed ZrCr2Au crystal, computed with GGA-PBE.

Cell and atoms, written as CIF:
```
data_ZrCr2Au
_chemical_formula_sum 'Zr4 Cr8 Au4'
_symmetry_space_group_name_H-M 'F m -3 m'
_symmetry_Int_Tables_number 225
_symmetry_space_group_name_Hall '-F 4 2 3'
_cell_length_a 6.472
_cell_length_b 6.472
_cell_length_c 6.472
_cell_angle_alpha 90.00
_cell_angle_beta 90.00
_cell_angle_gamma 90.00
loop_
_atom_site_label
_atom_site_fract_x
_atom_site_fract_y
_atom_site_fract_z
Zr1 0.000 0.000 0.000
Cr1 0.250 0.250 0.250
Au1 0.000 0.000 0.500
```

DOS at the Fermi energy   1.49 states/eV/atom

A relaxed ZrCr2Au crystal, computed with GGA-PBE.

Cell and atoms, written as CIF:
```
data_ZrCr2Au
_chemical_formula_sum 'Zr4 Cr8 Au4'
_symmetry_space_group_name_H-M 'I -4 2 d'
_symmetry_Int_Tables_number 122
_symmetry_space_group_name_Hall 'I -4 2bw'
_cell_length_a 3.847
_cell_length_b 3.847
_cell_length_c 19.023
_cell_angle_alpha 90.00
_cell_angle_beta 90.00
_cell_angle_gamma 90.00
loop_
_atom_site_label
_atom_site_fract_x
_atom_site_fract_y
_atom_site_fract_z
Zr1 0.000 0.000 0.000
Cr1 0.193 0.250 0.125
Au1 0.000 0.000 0.500
```

DOS at the Fermi energy   1.00 states/eV/atom

A relaxed ZrCr2Au crystal, computed with GGA-PBE.

Cell and atoms, written as CIF:
```
data_ZrCr2Au
_chemical_formula_sum 'Zr1 Cr2 Au1'
_symmetry_space_group_name_H-M 'P 4/m m m'
_symmetry_Int_Tables_number 123
_symmetry_space_group_name_Hall '-P 4 2'
_cell_length_a 4.143
_cell_length_b 4.143
_cell_length_c 3.907
_cell_angle_alpha 90.00
_cell_angle_beta 90.00
_cell_angle_gamma 90.00
loop_
_atom_site_label
_atom_site_fract_x
_atom_site_fract_y
_atom_site_fract_z
Zr1 0.000 0.000 0.000
Cr1 0.000 0.500 0.500
Au1 0.500 0.500 0.000
```

DOS at the Fermi energy   1.09 states/eV/atom

A relaxed ZrCr2Au crystal, computed with GGA-PBE.

Cell and atoms, written as CIF:
```
data_ZrCr2Au
_chemical_formula_sum 'Zr2 Cr4 Au2'
_symmetry_space_group_name_H-M 'C m m m'
_symmetry_Int_Tables_number 65
_symmetry_space_group_name_Hall '-C 2 2'
_cell_length_a 3.448
_cell_length_b 4.252
_cell_length_c 8.693
_cell_angle_alpha 90.00
_cell_angle_beta 90.00
_cell_angle_gamma 90.00
loop_
_atom_site_label
_atom_site_fract_x
_atom_site_fract_y
_atom_site_fract_z
Zr1 0.000 0.000 0.000
Cr1 0.000 0.500 0.259
Au1 0.000 0.000 0.500
```

DOS at the Fermi energy   1.41 states/eV/atom

A relaxed ZrCr3Au crystal, computed with GGA-PBE.

Cell and atoms, written as CIF:
```
data_ZrCr3Au
_chemical_formula_sum 'Zr1 Cr3 Au1'
_symmetry_space_group_name_H-M 'P m -3 m'
_symmetry_Int_Tables_number 221
_symmetry_space_group_name_Hall '-P 4 2 3'
_cell_length_a 4.869
_cell_length_b 4.869
_cell_length_c 4.869
_cell_angle_alpha 90.00
_cell_angle_beta 90.00
_cell_angle_gamma 90.00
loop_
_atom_site_label
_atom_site_fract_x
_atom_site_fract_y
_atom_site_fract_z
Zr1 0.000 0.000 0.000
Cr1 0.000 0.500 0.500
Au1 0.500 0.500 0.500
```

DOS at the Fermi energy   1.29 states/eV/atom

Asked for theoretical density across the records above, the calculation gives 10.2 9.6 9.3 9.7 10.2 6.4 g cm⁻³ in order.
Asked for final energy across the records above, the calculation gives -7.37 -7.48 -7.11 -7.61 -7.28 -6.81 eV per atom in order.
Asked for total magnetization across the records above, the calculation gives 1.9 25.9 0.0 5.3 0.0 10.6 μB per cell in order.